[1]
Computed, not measured: an optimized crystal structure of NaGaAgSb at the PBE level of DFT.

```
4
Lattice="0.000 3.544 3.544 3.544 0.000 3.544 3.544 3.544 0.000" Properties=species:S:1:pos:R:3 pbc="T T T"
Na 0.000 0.000 0.000
Ga 5.316 5.316 5.316
Ag 3.544 3.544 3.544
Sb 1.772 1.772 1.772
```

Theoretical density ... 6011 kg/m³
Uncorrected formation energy ... -0.08 eV/atom

=====

[2]
Computed, not measured: an optimized crystal structure of Na2GaAgSb2 at the PBE level of DFT.

```
12
Lattice="-3.123 7.476 3.327 3.123 -7.476 3.327 3.123 7.476 -3.327" Properties=species:S:1:pos:R:3 pbc="T T T"
Na 1.402 2.519 0.000
Na 1.402 -2.519 3.327
Na 1.721 9.995 0.000
Na 1.721 4.957 3.327
Ga 3.123 0.000 1.664
Ga 0.000 7.476 1.664
Ag 0.000 0.000 1.664
Ag 0.000 0.000 4.991
Sb 4.529 1.721 0.000
Sb 1.406 5.755 0.000
Sb 1.717 1.721 3.327
Sb -1.406 5.755 3.327
```

Theoretical density ... 4992 kg/m³
Uncorrected formation energy ... -0.28 eV/atom